Computed, not measured: ZnAg2Pd2 after structural relaxation at the GGA-PBE level of DFT. Values from VASP.

Cell and atoms, written as Quantum ESPRESSO input:
```
&SYSTEM
  ibrav = 0, nat = 10, ntyp = 3
/
ATOMIC_SPECIES
Zn 65.41 Zn.upf
Ag 107.87 Ag.upf
Pd 106.42 Pd.upf
ATOMIC_POSITIONS crystal
Zn 0.000 0.000 0.000
Zn 0.500 0.500 0.000
Ag 0.160 0.340 0.500
Ag 0.340 0.840 0.500
Ag 0.660 0.160 0.500
Ag 0.840 0.660 0.500
Pd 0.144 0.644 0.000
Pd 0.356 0.144 0.000
Pd 0.644 0.856 0.000
Pd 0.856 0.356 0.000
CELL_PARAMETERS angstrom
6.484 0.000 0.000
0.000 6.484 0.000
0.000 0.000 4.175
```

## Properties
The uncorrected energy comes out at -17.8 eV per formula unit. The energy of formation is -82 meV per atom. The symmetry is No. 127. The excess energy over the best structure of this formula in the dataset is 0.96 eV per formula unit.